VASP calculation (PBE) on a relaxed GaAg crystal.

Calculated values
- Space-group type: P6_3/m
- ΔE_f: 5 meV per atom

CIF file:
```
data_GaAg
_cell_length_a 7.540
_cell_length_b 7.540
_cell_length_c 4.586
_cell_angle_alpha 90.00
_cell_angle_beta 90.00
_cell_angle_gamma 120.00
_symmetry_space_group_name_H-M 'P 1'
_symmetry_Int_Tables_number 1
_symmetry_space_group_name_Hall 'P 1'
loop_
_atom_site_label
_atom_site_fract_x
_atom_site_fract_y
_atom_site_fract_z
Ga1 0.101 0.487 0.250
Ga2 0.386 0.899 0.250
Ga3 0.487 0.386 0.750
Ga4 0.513 0.614 0.250
Ga5 0.614 0.101 0.750
Ga6 0.899 0.513 0.750
Ag1 0.056 0.254 0.750
Ag2 0.198 0.944 0.750
Ag3 0.254 0.198 0.250
Ag4 0.746 0.802 0.750
Ag5 0.802 0.056 0.250
Ag6 0.944 0.746 0.250
```

VASP calculation (PBE) on a relaxed Tm4TcRh crystal.

Calculated values
- Energy relative to the lowest polymorph listed for this composition: 0 meV per atom
- Space-group type: Pnma
- ΔE_f: -427 meV per atom

CIF file:
```
data_Tm4TcRh
_cell_length_a 7.422
_cell_length_b 4.258
_cell_length_c 17.712
_cell_angle_alpha 90.00
_cell_angle_beta 90.00
_cell_angle_gamma 90.00
_symmetry_space_group_name_H-M 'P 1'
_symmetry_Int_Tables_number 1
_symmetry_space_group_name_Hall 'P 1'
loop_
_atom_site_label
_atom_site_fract_x
_atom_site_fract_y
_atom_site_fract_z
Tm1 0.011 0.250 0.072
Tm2 0.065 0.250 0.780
Tm3 0.103 0.250 0.350
Tm4 0.148 0.250 0.548
Tm5 0.352 0.750 0.048
Tm6 0.397 0.750 0.850
Tm7 0.435 0.750 0.280
Tm8 0.489 0.750 0.572
Tm9 0.511 0.250 0.428
Tm10 0.565 0.250 0.720
Tm11 0.603 0.250 0.150
Tm12 0.648 0.250 0.952
Tm13 0.852 0.750 0.452
Tm14 0.897 0.750 0.650
Tm15 0.935 0.750 0.220
Tm16 0.989 0.750 0.928
Tc1 0.249 0.250 0.939
Tc2 0.251 0.750 0.439
Tc3 0.749 0.250 0.561
Tc4 0.751 0.750 0.061
Rh1 0.236 0.250 0.202
Rh2 0.264 0.750 0.702
Rh3 0.736 0.250 0.298
Rh4 0.764 0.750 0.798
```

VASP calculation (PBE) on a relaxed PIr2S crystal.

Calculated values
- Space-group type: I-42d
- Formation energy (no corrections): -152 meV per atom

CIF file:
```
data_PIr2S
_cell_length_a 6.437
_cell_length_b 6.437
_cell_length_c 6.437
_cell_angle_alpha 131.56
_cell_angle_beta 131.56
_cell_angle_gamma 70.93
_symmetry_space_group_name_H-M 'P 1'
_symmetry_Int_Tables_number 1
_symmetry_space_group_name_Hall 'P 1'
loop_
_atom_site_label
_atom_site_fract_x
_atom_site_fract_y
_atom_site_fract_z
P1 0.000 0.000 0.000
P2 0.750 0.250 0.500
Ir1 0.123 0.625 0.998
Ir2 0.375 0.373 0.498
Ir3 0.627 0.125 0.002
Ir4 0.875 0.877 0.502
S1 0.250 0.750 0.500
S2 0.500 0.500 0.000
```

VASP calculation (PBE) on a relaxed BaCd2Bi2 crystal.

Calculated values
- Space-group type: P4/mbm
- ΔE_f: -308 meV per atom

CIF file:
```
data_BaCd2Bi2
_cell_length_a 9.024
_cell_length_b 9.024
_cell_length_c 3.865
_cell_angle_alpha 90.00
_cell_angle_beta 90.00
_cell_angle_gamma 90.00
_symmetry_space_group_name_H-M 'P 1'
_symmetry_Int_Tables_number 1
_symmetry_space_group_name_Hall 'P 1'
loop_
_atom_site_label
_atom_site_fract_x
_atom_site_fract_y
_atom_site_fract_z
Ba1 0.000 0.000 0.000
Ba2 0.500 0.500 0.000
Cd1 0.115 0.385 0.000
Cd2 0.385 0.885 0.000
Cd3 0.615 0.115 0.000
Cd4 0.885 0.615 0.000
Bi1 0.184 0.684 0.500
Bi2 0.316 0.184 0.500
Bi3 0.684 0.816 0.500
Bi4 0.816 0.316 0.500
```

VASP calculation (PBE) on a relaxed InHgBr2 crystal.

Calculated values
- Energy relative to the lowest polymorph listed for this composition: 270 meV per atom
- Space-group type: P4mm
- Formation energy (no corrections): -294 meV per atom

CIF file:
```
data_InHgBr2
_cell_length_a 3.763
_cell_length_b 3.763
_cell_length_c 8.536
_cell_angle_alpha 90.00
_cell_angle_beta 90.00
_cell_angle_gamma 90.00
_symmetry_space_group_name_H-M 'P 1'
_symmetry_Int_Tables_number 1
_symmetry_space_group_name_Hall 'P 1'
loop_
_atom_site_label
_atom_site_fract_x
_atom_site_fract_y
_atom_site_fract_z
In1 0.000 0.000 0.000
Hg1 0.500 0.500 0.740
Br1 0.000 0.000 0.564
Br2 0.500 0.500 0.190
```

VASP calculation (PBE) on a relaxed NaPHBr2 crystal.

Calculated values
- Space-group type: P4/mmm
- Electronic total energy: -1.921 eV/atom

CIF file:
```
data_NaPHBr2
_cell_length_a 5.581
_cell_length_b 5.581
_cell_length_c 6.112
_cell_angle_alpha 90.00
_cell_angle_beta 90.00
_cell_angle_gamma 90.00
_symmetry_space_group_name_H-M 'P 1'
_symmetry_Int_Tables_number 1
_symmetry_space_group_name_Hall 'P 1'
loop_
_atom_site_label
_atom_site_fract_x
_atom_site_fract_y
_atom_site_fract_z
Na1 0.000 0.000 0.000
P1 0.000 0.000 0.500
H1 0.500 0.500 0.500
Br1 0.000 0.500 0.000
Br2 0.500 0.000 0.000
```

VASP calculation (PBE) on a relaxed Pr5Os2O12 crystal.

Calculated values
- Space-group type: C2/m
- Formation energy (no corrections): -2565 meV per atom

CIF file:
```
data_Pr5Os2O12
_cell_length_a 7.140
_cell_length_b 7.140
_cell_length_c 7.748
_cell_angle_alpha 105.76
_cell_angle_beta 105.76
_cell_angle_gamma 50.24
_symmetry_space_group_name_H-M 'P 1'
_symmetry_Int_Tables_number 1
_symmetry_space_group_name_Hall 'P 1'
loop_
_atom_site_label
_atom_site_fract_x
_atom_site_fract_y
_atom_site_fract_z
Pr1 0.000 0.000 0.000
Pr2 0.305 0.305 0.142
Pr3 0.308 0.308 0.668
Pr4 0.692 0.692 0.332
Pr5 0.695 0.695 0.858
Os1 0.236 0.764 0.500
Os2 0.764 0.236 0.500
O1 0.001 0.001 0.686
O2 0.096 0.585 0.421
O3 0.096 0.595 0.923
O4 0.405 0.904 0.077
O5 0.415 0.904 0.579
O6 0.500 0.500 0.330
O7 0.500 0.500 0.670
O8 0.585 0.096 0.421
O9 0.595 0.096 0.923
O10 0.904 0.405 0.077
O11 0.904 0.415 0.579
O12 0.999 0.999 0.314
```

VASP calculation (PBE) on a relaxed InRhCl2 crystal.

Calculated values
- Energy relative to the lowest polymorph listed for this composition: 550 meV per atom
- Space-group type: I-4m2
- Formation energy (no corrections): 106 meV per atom

CIF file:
```
data_InRhCl2
_cell_length_a 6.042
_cell_length_b 6.042
_cell_length_c 6.042
_cell_angle_alpha 141.86
_cell_angle_beta 141.86
_cell_angle_gamma 55.04
_symmetry_space_group_name_H-M 'P 1'
_symmetry_Int_Tables_number 1
_symmetry_space_group_name_Hall 'P 1'
loop_
_atom_site_label
_atom_site_fract_x
_atom_site_fract_y
_atom_site_fract_z
In1 0.000 0.000 0.000
Rh1 0.250 0.750 0.500
Cl1 0.500 0.500 0.000
Cl2 0.750 0.250 0.500
```

VASP calculation (PBE) on a relaxed In4Te crystal.

Calculated values
- Energy relative to the lowest polymorph listed for this composition: 211 meV per atom
- Space-group type: Pm-3m
- Formation energy (no corrections): 448 meV per atom

CIF file:
```
data_In4Te
_cell_length_a 5.910
_cell_length_b 5.910
_cell_length_c 5.910
_cell_angle_alpha 90.00
_cell_angle_beta 90.00
_cell_angle_gamma 90.00
_symmetry_space_group_name_H-M 'P 1'
_symmetry_Int_Tables_number 1
_symmetry_space_group_name_Hall 'P 1'
loop_
_atom_site_label
_atom_site_fract_x
_atom_site_fract_y
_atom_site_fract_z
In1 0.000 0.000 0.000
In2 0.000 0.500 0.500
In3 0.500 0.000 0.500
In4 0.500 0.500 0.000
Te1 0.500 0.500 0.500
```

VASP calculation (PBE) on a relaxed Hf3Sc8Al crystal.

Calculated values
- Space-group type: I-42m
- ΔE_f: 668 meV per atom

CIF file:
```
data_Hf3Sc8Al
_cell_length_a 7.500
_cell_length_b 7.500
_cell_length_c 7.500
_cell_angle_alpha 117.71
_cell_angle_beta 117.71
_cell_angle_gamma 94.02
_symmetry_space_group_name_H-M 'P 1'
_symmetry_Int_Tables_number 1
_symmetry_space_group_name_Hall 'P 1'
loop_
_atom_site_label
_atom_site_fract_x
_atom_site_fract_y
_atom_site_fract_z
Hf1 0.000 0.000 0.000
Hf2 0.250 0.750 0.500
Hf3 0.750 0.250 0.500
Sc1 0.118 0.118 0.742
Sc2 0.240 0.240 0.502
Sc3 0.262 0.760 0.000
Sc4 0.376 0.376 0.258
Sc5 0.624 0.882 0.000
Sc6 0.738 0.738 0.498
Sc7 0.760 0.262 0.000
Sc8 0.882 0.624 0.000
Al1 0.500 0.500 0.000
```

VASP calculation (PBE) on a relaxed CsNa2VPt crystal.

Calculated values
- Space-group type: P4/mmm
- ΔE_f: 1294 meV per atom

CIF file:
```
data_CsNa2VPt
_cell_length_a 5.591
_cell_length_b 5.591
_cell_length_c 5.934
_cell_angle_alpha 90.00
_cell_angle_beta 90.00
_cell_angle_gamma 90.00
_symmetry_space_group_name_H-M 'P 1'
_symmetry_Int_Tables_number 1
_symmetry_space_group_name_Hall 'P 1'
loop_
_atom_site_label
_atom_site_fract_x
_atom_site_fract_y
_atom_site_fract_z
Cs1 0.000 0.000 0.000
Na1 0.000 0.500 0.500
Na2 0.500 0.000 0.500
V1 0.000 0.000 0.500
Pt1 0.500 0.500 0.000
```

VASP calculation (PBE) on a relaxed Ga3SnPb2 crystal.

Calculated values
- Space-group type: Cmcm
- ΔE_f: 76 meV per atom

CIF file:
```
data_Ga3SnPb2
_cell_length_a 8.139
_cell_length_b 8.139
_cell_length_c 5.528
_cell_angle_alpha 90.00
_cell_angle_beta 90.00
_cell_angle_gamma 60.12
_symmetry_space_group_name_H-M 'P 1'
_symmetry_Int_Tables_number 1
_symmetry_space_group_name_Hall 'P 1'
loop_
_atom_site_label
_atom_site_fract_x
_atom_site_fract_y
_atom_site_fract_z
Ga1 0.000 0.000 0.000
Ga2 0.000 0.000 0.500
Ga3 0.348 0.348 0.000
Ga4 0.348 0.348 0.500
Ga5 0.652 0.652 0.000
Ga6 0.652 0.652 0.500
Sn1 0.320 0.680 0.750
Sn2 0.680 0.320 0.250
Pb1 0.010 0.335 0.750
Pb2 0.335 0.010 0.250
Pb3 0.665 0.990 0.750
Pb4 0.990 0.665 0.250
```

VASP calculation (PBE) on a relaxed CeEuCuOs crystal.

Calculated values
- Space-group type: F-43m
- ΔE_f: 21 meV per atom

CIF file:
```
data_CeEuCuOs
_cell_length_a 4.940
_cell_length_b 4.940
_cell_length_c 4.940
_cell_angle_alpha 60.00
_cell_angle_beta 60.00
_cell_angle_gamma 60.00
_symmetry_space_group_name_H-M 'P 1'
_symmetry_Int_Tables_number 1
_symmetry_space_group_name_Hall 'P 1'
loop_
_atom_site_label
_atom_site_fract_x
_atom_site_fract_y
_atom_site_fract_z
Ce1 0.000 0.000 0.000
Eu1 0.500 0.500 0.500
Cu1 0.750 0.750 0.750
Os1 0.250 0.250 0.250
```

VASP calculation (PBE) on a relaxed GaCIO2 crystal.

Calculated values
- Energy relative to the lowest polymorph listed for this composition: 0 meV per atom
- Space-group type: P4/mmm
- Formation energy (no corrections): 630 meV per atom

CIF file:
```
data_GaCIO2
_cell_length_a 3.656
_cell_length_b 3.656
_cell_length_c 7.546
_cell_angle_alpha 90.00
_cell_angle_beta 90.00
_cell_angle_gamma 90.00
_symmetry_space_group_name_H-M 'P 1'
_symmetry_Int_Tables_number 1
_symmetry_space_group_name_Hall 'P 1'
loop_
_atom_site_label
_atom_site_fract_x
_atom_site_fract_y
_atom_site_fract_z
Ga1 0.000 0.000 0.000
C1 0.500 0.500 0.500
I1 0.000 0.000 0.500
O1 0.000 0.500 0.000
O2 0.500 0.000 0.000
```

VASP calculation (PBE) on a relaxed NaHg5Pd6 crystal.

Calculated values
- Space-group type: P2/m
- ΔE_f: -186 meV per atom

CIF file:
```
data_NaHg5Pd6
_cell_length_a 4.874
_cell_length_b 6.165
_cell_length_c 7.264
_cell_angle_alpha 90.00
_cell_angle_beta 97.91
_cell_angle_gamma 90.00
_symmetry_space_group_name_H-M 'P 1'
_symmetry_Int_Tables_number 1
_symmetry_space_group_name_Hall 'P 1'
loop_
_atom_site_label
_atom_site_fract_x
_atom_site_fract_y
_atom_site_fract_z
Na1 0.000 0.000 0.000
Hg1 0.000 0.500 0.000
Hg2 0.334 0.500 0.669
Hg3 0.336 0.000 0.678
Hg4 0.664 0.000 0.322
Hg5 0.666 0.500 0.331
Pd1 0.168 0.251 0.340
Pd2 0.168 0.749 0.340
Pd3 0.500 0.257 0.000
Pd4 0.500 0.743 0.000
Pd5 0.832 0.251 0.660
Pd6 0.832 0.749 0.660
```

VASP calculation (PBE) on a relaxed Sc5Mn crystal.

Calculated values
- Energy relative to the lowest polymorph listed for this composition: 380 meV per atom
- Space-group type: F-43m
- ΔE_f: 430 meV per atom

CIF file:
```
data_Sc5Mn
_cell_length_a 5.872
_cell_length_b 5.872
_cell_length_c 5.872
_cell_angle_alpha 60.00
_cell_angle_beta 60.00
_cell_angle_gamma 60.00
_symmetry_space_group_name_H-M 'P 1'
_symmetry_Int_Tables_number 1
_symmetry_space_group_name_Hall 'P 1'
loop_
_atom_site_label
_atom_site_fract_x
_atom_site_fract_y
_atom_site_fract_z
Sc1 0.000 0.000 0.000
Sc2 0.375 0.375 0.375
Sc3 0.375 0.375 0.876
Sc4 0.375 0.876 0.375
Sc5 0.876 0.375 0.375
Mn1 0.750 0.750 0.750
```

VASP calculation (PBE) on a relaxed NdPu3 crystal.

Calculated values
- Energy relative to the lowest polymorph listed for this composition: 92 meV per atom
- Space-group type: I4/mmm
- ΔE_f: 280 meV per atom

CIF file:
```
data_NdPu3
_cell_length_a 5.856
_cell_length_b 5.856
_cell_length_c 5.856
_cell_angle_alpha 132.70
_cell_angle_beta 132.70
_cell_angle_gamma 69.13
_symmetry_space_group_name_H-M 'P 1'
_symmetry_Int_Tables_number 1
_symmetry_space_group_name_Hall 'P 1'
loop_
_atom_site_label
_atom_site_fract_x
_atom_site_fract_y
_atom_site_fract_z
Nd1 0.000 0.000 0.000
Pu1 0.250 0.750 0.500
Pu2 0.500 0.500 0.000
Pu3 0.750 0.250 0.500
```

Computed values of spin magnetization (unit: μB per cell) for the preceding records, in sequence: 0.00, 0.00, 0.00, 0.00, 0.00, 4.39, 4.99, 1.20, 0.00, 1.01, 4.98, 0.00, 7.14, 1.89, 0.00, 4.43, 5.45.